## YZnF6 (GGA-PBE)

Data for crystalline YZnF6 at its relaxed geometry.

abc: 4.4021 4.4021 5.6406
angles: 74.73 74.73 86.35
Site moments in Bohr magnetons follow the coordinates.
Fractional coordinates of all 8 atoms:
Y 0.5000 0.5000 0.5000  -0.01
Zn 0.0000 0.0000 0.0000  0.20
F 0.1057 0.6837 0.3060  0.12
F 0.6837 0.1057 0.3060  0.12
F 0.3163 0.8943 0.6940  0.12
F 0.8943 0.3163 0.6940  0.12
F 0.3074 0.3074 0.9428  0.17
F 0.6926 0.6926 0.0572  0.17

Results
- Theoretical density: 4.38 g/cm³
- Total DFT energy (no corrections): -41.15 eV/cell
- V: 101.7 Å³ per cell
- Total magnetic moment: 1.06 μB per formula unit
- Raw formation energy: -22.18 eV per formula unit

***

## Y6BiAs5 (GGA-PBE)

Data for crystalline Y6BiAs5 at its relaxed geometry.

abc: 7.2405 7.2575 7.2492
angles: 59.96 80.37 70.47
Fractional coordinates of all 12 atoms:
Y 0.7428 0.0859 0.3477
Y 0.2572 0.5664 0.3477
Y 0.2561 0.2621 0.0000
Y 0.7439 0.7379 0.0000
Y 0.7428 0.4336 0.6523
Y 0.2572 0.9141 0.6523
As 0.5000 0.1631 0.6739
As 0.0000 0.3330 0.3339
As 0.5000 0.5000 0.0000
As 0.0000 0.6670 0.6661
As 0.5000 0.8369 0.3261
Bi 0.0000 0.0000 0.0000

Results
- Theoretical density: 5.97 g/cm³
- Total DFT energy (no corrections): -82.98 eV/cell
- V: 310.8 Å³ per cell
- Energy of formation: -1.42 eV/atom
- Total magnetic moment: 0.00 μB per formula unit

***

## GdYCuRu (GGA-PBE)

Data for crystalline GdYCuRu at its relaxed geometry.

abc: 4.8891 4.8891 4.8891
angles: 60.00 60.00 60.00
Site moments in Bohr magnetons follow the coordinates.
Fractional coordinates of all 4 atoms:
Y 0.5000 0.5000 0.5000  0.04
Ru 0.7500 0.7500 0.7500  -0.12
Gd 0.0000 0.0000 0.0000  7.06
Cu 0.2500 0.2500 0.2500  0.01

Results
- Theoretical density: 8.25 g/cm³
- Total DFT energy (no corrections): -35.09 eV/cell
- V: 82.6 Å³ per cell
- Energy of formation: -0.29 eV/atom
- Total magnetic moment: 7.19 μB per formula unit

***

## SmCuSn2 (GGA-PBE)

Data for crystalline SmCuSn2 at its relaxed geometry.

abc: 4.4447 4.4447 9.5147
angles: 90.00 90.00 90.00
Fractional coordinates of all 8 atoms:
Sm 0.0000 0.5000 0.2325
Sm 0.5000 0.0000 0.7675
Cu 0.5000 0.5000 0.0000
Cu 0.0000 0.0000 0.0000
Sn 0.5000 0.0000 0.1630
Sn 0.0000 0.5000 0.8370
Sn 0.0000 0.0000 0.5000
Sn 0.5000 0.5000 0.5000

Results
- Theoretical density: 7.97 g/cm³
- Total DFT energy (no corrections): -37.43 eV/cell
- V: 188.0 Å³ per cell
- Energy of formation: -0.47 eV/atom
- Total magnetic moment: 0.00 μB per formula unit

***

## BaInN3 (GGA-PBE)

Data for crystalline BaInN3 at its relaxed geometry.

abc: 4.8564 4.8564 4.8564
angles: 90.00 90.00 90.00
Site moments in Bohr magnetons follow the coordinates.
Fractional coordinates of all 5 atoms:
N 0.0000 0.5000 0.0000  1.15
N 0.0000 0.0000 0.5000  1.03
N 0.5000 0.0000 0.0000  0.82
Ba 0.0000 0.0000 0.0000  0.08
In 0.5000 0.5000 0.5000  0.06

Results
- Theoretical density: 4.26 g/cm³
- Total DFT energy (no corrections): -19.24 eV/cell
- V: 114.5 Å³ per cell
- Total magnetic moment: 4.51 μB per formula unit
- Raw formation energy: 10.40 eV per formula unit

***

## CuHgRh2 (GGA-PBE)

Data for crystalline CuHgRh2 at its relaxed geometry.

abc: 4.7909 4.7909 4.7909
angles: 130.76 130.76 72.20
Site moments in Bohr magnetons follow the coordinates.
Fractional coordinates of all 4 atoms:
Cu 0.5000 0.5000 0.0000  0.04
Hg 0.7500 0.2500 0.5000  0.00
Rh 0.0000 0.0000 0.0000  0.42
Rh 0.2500 0.7500 0.5000  0.42

Results
- Theoretical density: 12.65 g/cm³
- Total DFT energy (no corrections): -18.33 eV/cell
- V: 61.7 Å³ per cell
- Energy of formation: 0.19 eV/atom
- Total magnetic moment: 0.88 μB per formula unit

***

## Pm12DyEr3 (GGA-PBE)

Data for crystalline Pm12DyEr3 at its relaxed geometry.

abc: 5.1154 5.1154 20.4064
angles: 90.00 90.00 90.00
Fractional coordinates of all 16 atoms:
Pm 0.5000 0.5000 0.0000
Pm 0.5000 0.5000 0.2505
Pm 0.5000 0.5000 0.5000
Pm 0.5000 0.5000 0.7495
Pm 0.5000 0.0000 0.1255
Pm 0.5000 0.0000 0.3752
Pm 0.5000 0.0000 0.6248
Pm 0.5000 0.0000 0.8745
Pm 0.0000 0.5000 0.1255
Pm 0.0000 0.5000 0.3752
Pm 0.0000 0.5000 0.6248
Pm 0.0000 0.5000 0.8745
Dy 0.0000 0.0000 0.0000
Er 0.0000 0.0000 0.2504
Er 0.0000 0.0000 0.5000
Er 0.0000 0.0000 0.7496

Results
- Theoretical density: 7.48 g/cm³
- Total DFT energy (no corrections): -75.06 eV/cell
- V: 534.0 Å³ per cell
- Energy of formation: 0.02 eV/atom
- Total magnetic moment: 0.00 μB per formula unit

***

## NiPS2I (GGA-PBE)

Data for crystalline NiPS2I at its relaxed geometry.

abc: 4.6275 4.6275 4.3834
angles: 90.00 90.00 90.00
Fractional coordinates of all 5 atoms:
I 0.5000 0.5000 0.5000
Ni 0.0000 0.0000 0.0000
S 0.0000 0.5000 0.0000
S 0.5000 0.0000 0.0000
P 0.0000 0.0000 0.5000

Results
- Theoretical density: 4.97 g/cm³
- Total DFT energy (no corrections): -18.20 eV/cell
- V: 93.9 Å³ per cell
- Total magnetic moment: 0.00 μB per formula unit
- Relative energy among the computed polymorphs: 0.0 meV per atom
- Raw formation energy: 2.80 eV per formula unit

***

## LaCeMgAg (GGA-PBE)

Data for crystalline LaCeMgAg at its relaxed geometry.

abc: 5.4413 5.4413 5.4413
angles: 60.00 60.00 60.00
Site moments in Bohr magnetons follow the coordinates.
Fractional coordinates of all 4 atoms:
Mg 0.7500 0.7500 0.7500  0.00
Ag 0.2500 0.2500 0.2500  0.03
Ce 0.0000 0.0000 0.0000  0.96
La 0.5000 0.5000 0.5000  0.14

Results
- Theoretical density: 5.99 g/cm³
- Total DFT energy (no corrections): -15.38 eV/cell
- V: 113.9 Å³ per cell
- Energy of formation: -0.02 eV/atom
- Total magnetic moment: 1.56 μB per formula unit

***

## Ac4TlSnN (GGA-PBE)

Data for crystalline Ac4TlSnN at its relaxed geometry.

abc: 7.2942 7.2993 9.7648
angles: 90.00 111.93 90.00
Fractional coordinates of all 14 atoms:
Ac 0.9307 0.2500 0.8614
Ac 0.4165 0.7500 0.8329
Ac 0.0693 0.7500 0.1386
Ac 0.5835 0.2500 0.1671
Ac 0.5000 0.5000 0.5000
Ac 0.0000 0.0000 0.5000
Ac 0.5000 0.0000 0.5000
Ac 0.0000 0.5000 0.5000
Tl 0.1129 0.2500 0.2259
Tl 0.8871 0.7500 0.7741
Sn 0.6122 0.7500 0.2244
Sn 0.3878 0.2500 0.7756
N 0.2768 0.7500 0.5535
N 0.7232 0.2500 0.4465

Results
- Theoretical density: 8.57 g/cm³
- Total DFT energy (no corrections): -71.49 eV/cell
- V: 482.3 Å³ per cell
- Total magnetic moment: 0.00 μB per formula unit
- Raw formation energy: -4.62 eV per formula unit

***

## BaWN2 (GGA-PBE)

Data for crystalline BaWN2 at its relaxed geometry.

abc: 5.2756 5.8368 5.8368
angles: 114.46 90.00 90.00
Site moments in Bohr magnetons follow the coordinates.
Fractional coordinates of all 8 atoms:
Ba 0.2500 0.6531 0.3469  0.01
Ba 0.7500 0.3469 0.6531  0.01
W 0.5000 0.0000 0.0000  0.16
W 0.0000 0.0000 0.0000  0.16
N 0.2500 0.7168 0.8501  -0.01
N 0.7500 0.2832 0.1499  -0.01
N 0.2500 0.1499 0.2832  -0.01
N 0.7500 0.8501 0.7168  -0.01

Results
- Theoretical density: 7.09 g/cm³
- Total DFT energy (no corrections): -66.11 eV/cell
- V: 163.6 Å³ per cell
- Total magnetic moment: 0.21 μB per formula unit
- Relative energy among the computed polymorphs: 118.5 meV per atom
- Raw formation energy: -1.53 eV per formula unit

***

## UZnCd (GGA-PBE)

Data for crystalline UZnCd at its relaxed geometry.

abc: 5.4570 4.8054 6.6066
angles: 76.44 65.61 55.40
Site moments in Bohr magnetons follow the coordinates.
Fractional coordinates of all 6 atoms:
Cd 0.7500 0.5000 0.5000  0.00
Cd 0.2500 0.5000 0.5000  0.00
U 0.8337 0.3326 0.0000  2.73
U 0.1663 0.6674 0.0000  2.73
Zn 0.6156 0.0000 0.7688  0.00
Zn 0.3844 0.0000 0.2312  0.00

Results
- Theoretical density: 10.63 g/cm³
- Total DFT energy (no corrections): -25.54 eV/cell
- V: 129.9 Å³ per cell
- Energy of formation: 0.24 eV/atom
- Total magnetic moment: 2.94 μB per formula unit